# 1
This record from the Alexandria database describes a geometry-optimized Ru2PtRh structure. The functional is PBE.

Properties
DFT formation energy: 20 kJ/mol of formula units
energy relative to the lowest polymorph listed for this composition: 64 meV per atom
magnetic moment: 0.0 μB per formula unit
density of states at the Fermi level: 1.275 states/eV/atom

abc: 4.751 4.751 4.751
angles: 132.34 132.34 69.69
Atoms (fractional coordinates):
Ru: 0.500 0.500 0.000
Ru: 0.000 0.000 0.000
Pt: 0.250 0.750 0.500
Rh: 0.750 0.250 0.500

---

# 2
This record from the Alexandria database describes a geometry-optimized Ru2PtRh structure. The functional is PBE.

Properties
DFT formation energy: -5 kJ/mol of formula units
energy relative to the lowest polymorph listed for this composition: 0 meV per atom
magnetic moment: 0.0 μB per formula unit
density of states at the Fermi level: 1.156 states/eV/atom

abc: 3.850 3.851 8.667
angles: 90.00 116.38 90.00
Atoms (fractional coordinates):
Ru: 0.382 0.750 0.882
Ru: 0.881 0.250 0.882
Ru: 0.119 0.750 0.118
Ru: 0.618 0.250 0.118
Pt: 0.631 0.750 0.631
Pt: 0.369 0.250 0.369
Rh: 0.868 0.750 0.368
Rh: 0.132 0.250 0.632